[1]
CsRbSnO2 | PBE | optimized geometry

Lattice parameters (Å, degrees): 3.684 7.363 11.321 112.15 90.00 104.49
Positions (direct):
Cs 0.343 0.686 0.365
Cs 0.657 0.314 0.635
Sn 0.978 0.955 0.761
Sn 0.022 0.045 0.239
Rb 0.345 0.691 0.966
Rb 0.655 0.309 0.034
O 0.133 0.265 0.832
O 0.546 0.092 0.352
O 0.454 0.908 0.648
O 0.867 0.735 0.168

Computed properties:
* E_tot: -4.417 eV/atom
* total magnetization: 0.000 μB/f.u.
* energy relative to the elements, uncorrected: -1269 meV/atom
* SG: C2/m (12)
* ρ: 4.5 Mg/m³

=====

[2]
Cs2RbTaO4 | PBE | optimized geometry

Lattice parameters (Å, degrees): 6.851 7.311 13.341 83.09 75.12 62.06
Positions (direct):
O 0.467 0.323 0.575
O 0.365 0.677 0.425
O 0.210 0.323 0.425
O 0.958 0.677 0.575
O 0.283 0.177 0.925
O 0.540 0.177 0.075
O 0.385 0.823 0.075
O 0.792 0.823 0.925
Ta 0.250 0.500 0.500
Ta 0.500 0.000 0.000
Cs 0.952 0.500 0.096
Cs 0.548 0.500 0.904
Cs 0.798 0.000 0.404
Cs 0.202 0.000 0.596
Rb 0.750 0.500 0.500
Rb 0.000 0.000 0.000

Computed properties:
* E_tot: -6.270 eV/atom
* total magnetization: 0.177 μB/f.u.
* energy relative to the elements, uncorrected: -1975 meV/atom
* SG: Fddd (70)
* ρ: 3.5 Mg/m³

=====

[3]
CsRbTaO4 | PBE | optimized geometry

Lattice parameters (Å, degrees): 5.776 5.772 8.362 90.00 110.20 90.00
Positions (direct):
O 0.000 0.500 0.500
O 0.000 0.000 0.500
O 0.627 0.250 0.253
O 0.500 0.500 0.500
O 0.500 0.000 0.500
O 0.123 0.750 0.246
O 0.373 0.750 0.747
O 0.877 0.250 0.754
Ta 0.754 0.250 0.508
Ta 0.246 0.750 0.492
Rb 0.898 0.750 0.795
Rb 0.102 0.250 0.205
Cs 0.414 0.250 0.828
Cs 0.586 0.750 0.172

Computed properties:
* E_tot: -6.869 eV/atom
* total magnetization: 1.029 μB/f.u.
* energy relative to the elements, uncorrected: -2082 meV/atom
* SG: Cmcm (63)
* ρ: 5.9 Mg/m³

=====

[4]
Cs2Rb2TcO6 | PBE | optimized geometry

Lattice parameters (Å, degrees): 6.616 6.616 6.895 99.13 99.13 116.96
Positions (direct):
Cs 0.830 0.170 0.000
Cs 0.170 0.830 0.000
O 0.713 0.953 0.336
O 0.167 0.167 0.324
O 0.287 0.047 0.664
O 0.833 0.833 0.676
O 0.953 0.713 0.336
O 0.047 0.287 0.664
Rb 0.345 0.655 0.500
Rb 0.655 0.345 0.500
Tc 0.000 0.000 0.500

Computed properties:
* E_tot: -5.310 eV/atom
* total magnetization: 1.084 μB/f.u.
* energy relative to the elements, uncorrected: -1332 meV/atom
* SG: C2/m (12)
* ρ: 4.1 Mg/m³

=====

[5]
CsRbTcO4 | PBE | optimized geometry

Lattice parameters (Å, degrees): 5.891 6.493 9.080 90.00 113.78 90.00
Positions (direct):
O 0.027 0.023 0.801
O 0.712 0.250 0.517
O 0.589 0.250 0.797
O 0.027 0.477 0.801
O 0.973 0.977 0.199
O 0.973 0.523 0.199
O 0.411 0.750 0.203
O 0.288 0.750 0.483
Tc 0.158 0.750 0.264
Tc 0.842 0.250 0.736
Rb 0.809 0.750 0.522
Rb 0.191 0.250 0.478
Cs 0.532 0.750 0.882
Cs 0.468 0.250 0.118

Computed properties:
* E_tot: -6.225 eV/atom
* total magnetization: 1.002 μB/f.u.
* energy relative to the elements, uncorrected: -1651 meV/atom
* SG: P2_1/m (11)
* ρ: 4.0 Mg/m³

=====

[6]
Cs3RbTc2O8 | PBE | optimized geometry

Lattice parameters (Å, degrees): 6.673 6.673 8.641 90.00 90.00 120.00
Positions (direct):
O 0.188 0.812 0.288
O 0.376 0.188 0.712
O 0.812 0.624 0.712
O 0.624 0.812 0.288
O 0.188 0.376 0.288
O 0.667 0.333 0.992
O 0.812 0.188 0.712
O 0.333 0.667 0.008
Rb 0.000 0.000 0.500
Cs 0.000 0.000 0.000
Cs 0.333 0.667 0.675
Cs 0.667 0.333 0.325
Tc 0.667 0.333 0.786
Tc 0.333 0.667 0.214

Computed properties:
* E_tot: -6.246 eV/atom
* total magnetization: 2.006 μB/f.u.
* energy relative to the elements, uncorrected: -1679 meV/atom
* SG: P-3m1 (164)
* ρ: 4.0 Mg/m³

=====

[7]
CsRb3Tc2O8 | PBE | optimized geometry

Lattice parameters (Å, degrees): 6.491 6.491 9.064 90.00 90.00 120.00
Positions (direct):
O 0.816 0.633 0.734
O 0.184 0.367 0.266
O 0.633 0.816 0.266
O 0.184 0.816 0.266
O 0.333 0.667 0.000
O 0.816 0.184 0.734
O 0.367 0.184 0.734
O 0.667 0.333 0.000
Rb 0.333 0.667 0.707
Rb 0.000 0.000 0.000
Rb 0.667 0.333 0.293
Tc 0.333 0.667 0.196
Tc 0.667 0.333 0.804
Cs 0.000 0.000 0.500

Computed properties:
* E_tot: -6.221 eV/atom
* total magnetization: 2.007 μB/f.u.
* energy relative to the elements, uncorrected: -1639 meV/atom
* SG: P-3m1 (164)
* ρ: 3.6 Mg/m³

=====

[8]
Cs2RbTc2O6 | PBE | optimized geometry

Lattice parameters (Å, degrees): 6.712 6.712 8.157 65.70 65.70 60.00
Positions (direct):
Cs 0.791 0.791 0.627
Cs 0.209 0.209 0.373
O 0.727 0.275 0.271
O 0.725 0.273 0.729
O 0.273 0.725 0.729
O 0.273 0.273 0.729
O 0.275 0.727 0.271
O 0.727 0.727 0.271
Tc 0.415 0.415 0.755
Tc 0.585 0.585 0.245
Rb 0.000 0.000 0.000

Computed properties:
* E_tot: -6.246 eV/atom
* total magnetization: 1.035 μB/f.u.
* energy relative to the elements, uncorrected: -1414 meV/atom
* SG: R-3m (166)
* ρ: 3.8 Mg/m³

=====

[9]
CsRb2Tc2O7 | PBE | optimized geometry

Lattice parameters (Å, degrees): 6.996 6.996 9.109 67.42 67.42 60.00
Positions (direct):
O 0.000 0.000 0.000
O 0.845 0.330 0.703
O 0.330 0.122 0.703
O 0.122 0.845 0.703
O 0.155 0.878 0.297
O 0.878 0.670 0.297
O 0.670 0.155 0.297
Rb 0.229 0.229 0.313
Rb 0.771 0.771 0.687
Tc 0.076 0.076 0.773
Tc 0.924 0.924 0.227
Cs 0.500 0.500 0.500

Computed properties:
* E_tot: -6.382 eV/atom
* total magnetization: 1.084 μB/f.u.
* energy relative to the elements, uncorrected: -1529 meV/atom
* SG: R32 (155)
* ρ: 2.9 Mg/m³

=====

[10]
Cs3RbTe2O6 | PBE | optimized geometry

Lattice parameters (Å, degrees): 6.828 6.828 8.049 90.00 90.00 120.00
Positions (direct):
O 0.809 0.619 0.721
O 0.191 0.809 0.279
O 0.619 0.809 0.279
O 0.809 0.191 0.721
O 0.191 0.381 0.279
O 0.381 0.191 0.721
Te 0.333 0.667 0.175
Te 0.667 0.333 0.825
Cs 0.000 0.000 0.000
Cs 0.333 0.667 0.643
Cs 0.667 0.333 0.357
Rb 0.000 0.000 0.500

Computed properties:
* E_tot: -4.797 eV/atom
* total magnetization: 0.000 μB/f.u.
* energy relative to the elements, uncorrected: -1501 meV/atom
* SG: P-3m1 (164)
* ρ: 4.3 Mg/m³

=====

[11]
CsRb2TeO4 | PBE | optimized geometry

Lattice parameters (Å, degrees): 7.814 7.814 9.449 127.19 127.19 74.50
Positions (direct):
O 0.695 0.281 0.488
O 0.500 0.500 0.293
O 0.000 0.000 0.207
O 0.219 0.805 0.012
O 0.305 0.719 0.512
O 0.000 0.000 0.793
O 0.500 0.500 0.707
O 0.781 0.195 0.988
Te 0.500 0.500 0.500
Te 0.000 0.000 0.000
Cs 0.000 0.500 0.000
Cs 0.000 0.500 0.500
Rb 0.500 0.000 0.500
Rb 0.500 0.500 0.000
Rb 0.500 0.000 0.000
Rb 0.000 0.000 0.500

Computed properties:
* E_tot: -4.382 eV/atom
* total magnetization: 0.896 μB/f.u.
* energy relative to the elements, uncorrected: -1162 meV/atom
* SG: Imma (74)
* ρ: 4.5 Mg/m³

=====

[12]
Cs2RbTeO4 | PBE | optimized geometry

Lattice parameters (Å, degrees): 6.683 6.683 6.683 95.71 116.76 116.76
Positions (direct):
Cs 0.500 0.750 0.250
Cs 0.000 0.000 0.000
O 0.981 0.537 0.208
O 0.019 0.227 0.556
O 0.671 0.444 0.463
O 0.329 0.792 0.773
Rb 0.500 0.250 0.750
Te 0.000 0.500 0.500

Computed properties:
* E_tot: -4.519 eV/atom
* total magnetization: 0.817 μB/f.u.
* energy relative to the elements, uncorrected: -1313 meV/atom
* SG: I-4 (82)
* ρ: 4.1 Mg/m³

=====

[13]
Cs2RbTeO | PBE | optimized geometry

Lattice parameters (Å, degrees): 5.759 5.759 5.874 90.00 90.00 90.00
Positions (direct):
Te 0.500 0.500 0.500
Rb 0.000 0.000 0.500
O 0.000 0.000 0.000
Cs 0.000 0.500 0.000
Cs 0.500 0.000 0.000

Computed properties:
* E_tot: -3.053 eV/atom
* total magnetization: 0.474 μB/f.u.
* energy relative to the elements, uncorrected: -898 meV/atom
* SG: P4/mmm (123)
* ρ: 4.2 Mg/m³

=====

[14]
Cs3RbTe2O8 | PBE | optimized geometry

Lattice parameters (Å, degrees): 6.788 6.788 8.657 90.00 90.00 120.00
Positions (direct):
O 0.814 0.628 0.709
O 0.628 0.814 0.291
O 0.667 0.333 0.998
O 0.333 0.667 0.002
O 0.186 0.372 0.291
O 0.186 0.814 0.291
O 0.372 0.186 0.709
O 0.814 0.186 0.709
Cs 0.000 0.000 0.000
Cs 0.333 0.667 0.673
Cs 0.667 0.333 0.327
Te 0.333 0.667 0.214
Te 0.667 0.333 0.786
Rb 0.000 0.000 0.500

Computed properties:
* E_tot: -4.943 eV/atom
* total magnetization: 0.330 μB/f.u.
* energy relative to the elements, uncorrected: -1409 meV/atom
* SG: P-3m1 (164)
* ρ: 4.2 Mg/m³

=====

[15]
Cs2Rb3TeO6 | PBE | optimized geometry

Lattice parameters (Å, degrees): 7.144 7.144 6.682 100.80 100.80 119.88
Positions (direct):
Rb 0.846 0.154 0.500
Rb 0.500 0.500 0.500
Rb 0.154 0.846 0.500
O 0.288 0.062 0.190
O 0.168 0.168 0.822
O 0.062 0.288 0.190
O 0.938 0.712 0.810
O 0.832 0.832 0.178
O 0.712 0.938 0.810
Cs 0.668 0.332 0.000
Cs 0.332 0.668 0.000
Te 0.000 0.000 0.000

Computed properties:
* E_tot: -4.387 eV/atom
* total magnetization: 1.091 μB/f.u.
* energy relative to the elements, uncorrected: -1262 meV/atom
* SG: C2/m (12)
* ρ: 4.5 Mg/m³

=====

[16]
CsRbTiO3 | PBE | optimized geometry

Lattice parameters (Å, degrees): 5.680 6.649 7.260 62.75 86.61 82.59
Positions (direct):
Rb 0.250 0.587 0.826
Rb 0.750 0.413 0.174
Ti 0.250 0.955 0.089
Ti 0.750 0.045 0.911
O 0.008 0.207 0.957
O 0.508 0.164 0.043
O 0.992 0.793 0.043
O 0.750 0.184 0.633
O 0.250 0.816 0.367
O 0.492 0.836 0.957
Cs 0.250 0.241 0.518
Cs 0.750 0.759 0.482

Computed properties:
* E_tot: -6.440 eV/atom
* total magnetization: 0.000 μB/f.u.
* energy relative to the elements, uncorrected: -2342 meV/atom
* SG: C2/c (15)
* ρ: 4.3 Mg/m³

=====

[17]
CsRbTlO2 | PBE | optimized geometry

Lattice parameters (Å, degrees): 6.633 6.978 7.752 90.24 90.00 90.00
Positions (direct):
O 0.766 0.214 0.501
O 0.234 0.214 0.001
O 0.766 0.786 0.999
O 0.234 0.786 0.499
Tl 0.000 0.000 0.000
Tl 0.000 0.000 0.500
Rb 0.499 0.000 0.250
Rb 0.501 0.000 0.750
Cs 0.990 0.500 0.250
Cs 0.010 0.500 0.750

Computed properties:
* E_tot: -3.582 eV/atom
* total magnetization: 0.840 μB/f.u.
* energy relative to the elements, uncorrected: -762 meV/atom
* SG: P2/c (13)
* ρ: 4.2 Mg/m³

=====

[18]
CsRb2U2O7 | PBE | optimized geometry

Lattice parameters (Å, degrees): 4.392 4.392 11.953 79.43 79.43 90.00
Positions (direct):
Rb 0.191 0.191 0.617
Rb 0.809 0.809 0.383
O 0.680 0.680 0.639
O 0.500 0.500 0.000
O 0.904 0.404 0.193
O 0.596 0.096 0.807
O 0.404 0.904 0.193
O 0.320 0.320 0.361
O 0.096 0.596 0.807
U 0.405 0.405 0.191
U 0.595 0.595 0.809
Cs 0.000 0.000 0.000

Computed properties:
* E_tot: -7.707 eV/atom
* total magnetization: 1.001 μB/f.u.
* energy relative to the elements, uncorrected: -2701 meV/atom
* SG: I4/mmm (139)
* ρ: 6.7 Mg/m³

=====

[19]
Cs4RbU3O12 | PBE | optimized geometry

Lattice parameters (Å, degrees): 7.919 7.919 7.919 109.47 109.47 109.47
Positions (direct):
Cs 0.500 0.500 0.500
Cs 0.000 0.500 0.000
Cs 0.500 0.000 0.000
Cs 0.000 0.000 0.500
O 0.500 0.750 0.250
O 0.750 0.250 0.500
O 0.706 0.000 0.706
O 0.706 0.706 0.000
O 0.750 0.500 0.250
O 0.250 0.500 0.750
O 0.000 0.706 0.706
O 0.294 0.294 0.000
O 0.000 0.294 0.294
O 0.500 0.250 0.750
O 0.250 0.750 0.500
O 0.294 0.000 0.294
U 0.000 0.500 0.500
U 0.500 0.500 0.000
U 0.500 0.000 0.500
Rb 0.000 0.000 0.000

Computed properties:
* E_tot: -7.461 eV/atom
* total magnetization: 1.036 μB/f.u.
* energy relative to the elements, uncorrected: -2574 meV/atom
* SG: Im-3m (229)
* ρ: 6.6 Mg/m³

=====

[20]
CsRbU2O7 | PBE | optimized geometry

Lattice parameters (Å, degrees): 4.300 4.300 11.174 90.00 90.00 90.00
Positions (direct):
O 0.500 0.500 0.636
O 0.500 0.500 0.364
O 0.500 0.000 0.187
O 0.000 0.500 0.187
O 0.000 0.500 0.813
O 0.500 0.000 0.813
O 0.500 0.500 0.000
Cs 0.000 0.000 0.500
Rb 0.000 0.000 0.000
U 0.500 0.500 0.194
U 0.500 0.500 0.806

Computed properties:
* E_tot: -8.190 eV/atom
* total magnetization: 0.000 μB/f.u.
* energy relative to the elements, uncorrected: -2817 meV/atom
* SG: P4/mmm (123)
* ρ: 6.5 Mg/m³